# 1
Tl2SnGeCl6 | PBE | relaxed

Cell lengths 7.3507, 7.9213, 8.0511 Å; angles 66.81, 62.99, 62.36 degrees
Space group P1 (No. 1)
Unique sites:
1 Tl 0.0000 0.0000 0.0000 (multiplicity 1)
2 Tl 0.4738 0.5234 0.5262 (multiplicity 1)
3 Sn 0.7345 0.6325 0.8900 (multiplicity 1)
4 Ge 0.2379 0.1467 0.3680 (multiplicity 1)
5 Cl 0.4563 0.8889 0.1807 (multiplicity 1)
6 Cl 0.4759 0.3301 0.1897 (multiplicity 1)
7 Cl 0.4811 0.8383 0.6848 (multiplicity 1)
8 Cl 0.9711 0.3724 0.6745 (multiplicity 1)
9 Cl 0.9893 0.3312 0.1929 (multiplicity 1)
10 Cl 0.9916 0.8329 0.6913 (multiplicity 1)

N(E_F)	0.0	states/eV/cell

# 2
ZnSnGe2Cl8 | PBE | relaxed

Cell lengths 6.1911, 6.9669, 8.1495 Å; angles 89.95, 89.80, 88.10 degrees
Space group P-1 (No. 2)
Unique sites:
1 Zn 0.0000 0.0000 0.0000 (multiplicity 1)
2 Sn 0.0000 0.0000 0.5000 (multiplicity 1)
3 Ge 0.4714 0.4279 0.7631 (multiplicity 2)
4 Cl 0.1819 0.8421 0.7957 (multiplicity 2)
5 Cl 0.2446 0.3108 0.9694 (multiplicity 2)
6 Cl 0.2665 0.3273 0.5305 (multiplicity 2)
7 Cl 0.2783 0.8605 0.2387 (multiplicity 2)

N(E_F)	0.0	states/eV/cell

# 3
SrGe2Cl8 | PBE | relaxed

Cell lengths 12.7647, 9.9610, 6.6863 Å; angles 90.00, 102.45, 90.00 degrees
Space group C2/m (No. 12)
Unique sites:
1 Sr 0.0000 0.0000 0.0000 (multiplicity 2)
2 Ge 0.2264 0.0000 0.6930 (multiplicity 4)
3 Cl 0.0964 0.5000 0.1191 (multiplicity 4)
4 Cl 0.1214 0.1756 0.7760 (multiplicity 8)
5 Cl 0.1929 0.0000 0.3278 (multiplicity 4)

Electronic total energy / eV/cell: -33.98; -39.87; -76.40